Computed, not measured: crystalline Na5IO5 at its relaxed geometry at the PBE level of DFT.

Computed properties:
E, eV/cell: -45.75
Formation energy (no corrections), kcal/mol of atoms: -26.87

abc: 5.928 5.928 6.576
angles: 107.13 107.13 45.90
Element x y z (fractional)
Na  0.000  0.000  0.000
Na  0.304  0.304  0.176
Na  0.321  0.321  0.642
Na  0.679  0.679  0.358
Na  0.696  0.696  0.824
I  0.000  0.000  0.500
O  0.136  0.136  0.340
O  0.148  0.148  0.800
O  0.500  0.500  0.500
O  0.852  0.852  0.200
O  0.864  0.864  0.660